# 1
A plane-wave DFT calculation with PBE was carried out for a relaxed Ga4HgC2 crystal.

Geometry as CIF:
```
data_Ga4HgC2
_cell_length_a 6.801
_cell_length_b 6.801
_cell_length_c 6.801
_cell_angle_alpha 133.27
_cell_angle_beta 133.27
_cell_angle_gamma 68.24
_symmetry_space_group_name_H-M 'P 1'
_symmetry_Int_Tables_number 1
loop_
_symmetry_equiv_pos_as_xyz
'x,y,z'
loop_
_atom_site_label
_atom_site_type_symbol
_atom_site_fract_x
_atom_site_fract_y
_atom_site_fract_z
Ga1 Ga 0.000 0.500 0.500
Ga2 Ga 0.239 0.239 0.000
Ga3 Ga 0.500 0.000 0.500
Ga4 Ga 0.761 0.761 0.000
Hg1 Hg 0.500 0.500 0.000
C1 C 0.056 0.056 0.000
C2 C 0.944 0.944 0.000
```

Output
**Space-group type**: I4/mmm
**Energy**: -25.3 eV for the cell shown
**Size of the total moment**: 0.00 μB/f.u.

---

# 2
A plane-wave DFT calculation with PBE was carried out for a relaxed GaHg2C crystal.

Geometry as CIF:
```
data_GaHg2C
_cell_length_a 4.716
_cell_length_b 4.716
_cell_length_c 4.716
_cell_angle_alpha 60.00
_cell_angle_beta 60.00
_cell_angle_gamma 60.00
_symmetry_space_group_name_H-M 'P 1'
_symmetry_Int_Tables_number 1
loop_
_symmetry_equiv_pos_as_xyz
'x,y,z'
loop_
_atom_site_label
_atom_site_type_symbol
_atom_site_fract_x
_atom_site_fract_y
_atom_site_fract_z
Ga1 Ga 0.000 0.000 0.000
Hg1 Hg 0.250 0.250 0.250
Hg2 Hg 0.750 0.750 0.750
C1 C 0.500 0.500 0.500
```

Output
**Relative energy among the computed polymorphs**: 0.3576 eV per atom
**Space-group type**: Fm-3m
**Energy**: -7.2 eV for the cell shown
**Size of the total moment**: 0.00 μB/f.u.

---

# 3
A plane-wave DFT calculation with PBE was carried out for a relaxed GaHgC3 crystal.

Geometry as CIF:
```
data_GaHgC3
_cell_length_a 4.095
_cell_length_b 4.095
_cell_length_c 4.095
_cell_angle_alpha 90.00
_cell_angle_beta 90.00
_cell_angle_gamma 90.00
_symmetry_space_group_name_H-M 'P 1'
_symmetry_Int_Tables_number 1
loop_
_symmetry_equiv_pos_as_xyz
'x,y,z'
loop_
_atom_site_label
_atom_site_type_symbol
_atom_site_fract_x
_atom_site_fract_y
_atom_site_fract_z
Ga1 Ga 0.000 0.000 0.000
Hg1 Hg 0.500 0.500 0.500
C1 C 0.000 0.000 0.500
C2 C 0.000 0.500 0.000
C3 C 0.500 0.000 0.000
```

Output
**Relative energy among the computed polymorphs**: 0.0000 eV per atom
**Space-group type**: Pm-3m
**Energy**: -17.4 eV for the cell shown
**Size of the total moment**: 0.00 μB/f.u.